Density functional theory data (PBE-GGA) for a relaxed TaNbBr2 crystal.

Values from the calculation:
Space-group type   R-3m, No. 166
Excess energy over the best structure of this formula in the dataset   0.000 eV per atom
Spin magnetization   0.00 μB/atom
ΔE_f (raw)   0.2620 eV per atom

Unit cell a=9.392 b=9.392 c=9.392 alpha=19.47 beta=19.47 gamma=19.47
Atoms (fractional coordinates):
Br 0.905 0.905 0.905
Br 0.095 0.095 0.095
Ta 0.000 0.000 0.000
Nb 0.500 0.500 0.500